Density functional theory data (GGA-PBE) for a geometry-optimized NdYHo6Er2 structure.

Lattice parameters (Å, degrees): 9.4852 8.7591 8.7591 117.77 93.49 93.49
With the nearest neighbours (Å) after each atom.
Positions (direct):
Nd 0.2500 0.9730 0.0270  4 Er 3.37-3.43, 4 Ho 3.56-3.68
Nd 0.7500 0.0270 0.9730  4 Er 3.37-3.43, 4 Ho 3.56-3.68
Y 0.2500 0.4093 0.5907  6 Ho 3.41-3.52, 2 Er 3.52
Y 0.7500 0.5907 0.4093  6 Ho 3.41-3.52, 2 Er 3.52
Ho 0.0569 0.1222 0.7517  7 Ho 3.38-3.71, 1 Er 3.48, 1 Nd 3.68
Ho 0.4431 0.2483 0.8778  7 Ho 3.38-3.71, 1 Er 3.48, 1 Nd 3.68
Ho 0.9431 0.8778 0.2483  7 Ho 3.38-3.71, 1 Er 3.48, 1 Nd 3.68
Ho 0.5569 0.7517 0.1222  7 Ho 3.38-3.71, 1 Er 3.48, 1 Nd 3.68
Ho 0.3185 0.9811 0.4352  3 Ho 3.19-3.54, 2 Er 3.39-3.54, 1 Y 3.46, 1 Nd 3.56
Ho 0.1815 0.5648 0.0189  3 Ho 3.19-3.54, 2 Er 3.39-3.54, 1 Y 3.46, 1 Nd 3.56
Ho 0.6815 0.0189 0.5648  3 Ho 3.19-3.54, 2 Er 3.39-3.54, 1 Y 3.46, 1 Nd 3.56
Ho 0.8185 0.4352 0.9811  3 Ho 3.19-3.54, 2 Er 3.39-3.54, 1 Y 3.46, 1 Nd 3.56
Ho 0.1184 0.7088 0.4899  4 Ho 3.19-3.50, 3 Er 3.25-3.41, 2 Y 3.41-3.52
Ho 0.3816 0.5101 0.2912  4 Ho 3.19-3.50, 3 Er 3.25-3.41, 2 Y 3.41-3.52
Ho 0.8816 0.2912 0.5101  4 Ho 3.19-3.50, 3 Er 3.25-3.41, 2 Y 3.41-3.52
Ho 0.6184 0.4899 0.7088  4 Ho 3.19-3.50, 3 Er 3.25-3.41, 2 Y 3.41-3.52
Er 0.4534 0.8011 0.6955  6 Ho 3.25-3.54, 2 Nd 3.37-3.43, 1 Y 3.52
Er 0.0466 0.3045 0.1989  6 Ho 3.25-3.54, 2 Nd 3.37-3.43, 1 Y 3.52
Er 0.5466 0.1989 0.3045  6 Ho 3.25-3.54, 2 Nd 3.37-3.43, 1 Y 3.52
Er 0.9534 0.6955 0.8011  6 Ho 3.25-3.54, 2 Nd 3.37-3.43, 1 Y 3.52

## Properties
DFT formation energy = 116 kJ/mol of formula units